PmMn2TcO6: relaxed, GGA+U.

The structure in POSCAR format:
```
PmMn2TcO6
1.0
2.755 1.591 4.897
-2.755 1.591 4.897
0.000 -3.182 4.897
Pm Mn Tc O
1 2 1 6
Direct
0.000 0.000 0.000
0.276 0.276 0.276
0.785 0.785 0.785
0.484 0.484 0.484
0.105 0.662 0.415
0.224 0.575 0.854
0.415 0.105 0.662
0.575 0.854 0.224
0.662 0.415 0.105
0.854 0.224 0.575
```

Values from the calculation:
theoretical density = 5788 kg/m³
uncorrected energy = -7.91 eV per atom
volume = 129 Å³ per cell
SG = No. 146